--- one ---
First-principles (GGA-PBE) data for an optimized crystal structure of Zr3TcMo, as listed in Alexandria.

Cell: 4.951 4.951 4.951 Å, 90.00 90.00 90.00°
Fractional positions:
Zr (0.000, 0.000, 0.500)
Zr (0.000, 0.500, 0.000)
Zr (0.500, 0.000, 0.000)
Tc (0.000, 0.000, 0.000)
Mo (0.500, 0.500, 0.500)

---

--- two ---
First-principles (GGA-PBE) data for an optimized crystal structure of Zr3TcMo, as listed in Alexandria.

Cell: 4.958 4.958 4.958 Å, 90.00 90.00 90.00°
Fractional positions:
Zr (0.000, 0.000, 0.500)
Zr (0.000, 0.500, 0.000)
Zr (0.500, 0.000, 0.000)
Tc (0.500, 0.500, 0.500)
Mo (0.000, 0.000, 0.000)

---

The structure with the greatest stability is one.